[1]
{"formula": "TbLuAlHg", "functional": "PBE-GGA", "state": "optimized geometry", "ef_ev_per_atom": -0.388, "spacegroup": "F-43m", "lattice_angstrom": [[0.0000, 3.6537, 3.6537], [3.6537, 0.0000, 3.6537], [3.6537, 3.6537, 0.0000]], "species": ["Tb", "Lu", "Al", "Hg"], "frac_coords": [[0.0000, 0.0000, 0.0000], [0.5000, 0.5000, 0.5000], [0.2500, 0.2500, 0.2500], [0.7500, 0.7500, 0.7500]]}

---

[2]
{"formula": "Cd5Hg2Au", "functional": "PBE-GGA", "state": "optimized geometry", "ef_ev_per_atom": -0.038, "spacegroup": "C2/m", "lattice_angstrom": [[3.1342, -3.1378, 0.0000], [3.1342, 3.1378, 0.0000], [-1.4537, 0.0000, 9.2154]], "species": ["Cd", "Cd", "Cd", "Cd", "Cd", "Hg", "Hg", "Au"], "frac_coords": [[0.0000, 0.0000, 0.0000], [0.0588, 0.5581, 0.2278], [0.4419, 0.9412, 0.7722], [0.5581, 0.0588, 0.2278], [0.9412, 0.4419, 0.7722], [0.2493, 0.2493, 0.4995], [0.7507, 0.7507, 0.5005], [0.5000, 0.5000, 0.0000]]}

---

Number 1: total moment 0.0 μB per formula unit. Number 2: total moment 0.0 μB per formula unit.